No. 1
La3CdGe | PBE-GGA | optimized geometry

As for the density of states at the Fermi level: 4.243 states/eV/f.u. As for the energy above the most stable polymorph in this dataset: 0 meV per atom. Its total energy is -4.51 eV per atom. As for the total moment: 0.0 μB/cell. The calculation puts the volume at 30.3 Å³ per atom. As for the formation energy: -0.45 eV/atom.

The structure belongs to space group P-1 (No. 2); the cell edges are 4.2718, 7.4410 and 9.9544 Å and the angles 88.90°, 89.74° and 73.60°. The asymmetric unit holds La at (0.0470, 0.4014, 0.1524), La at (0.2435, 0.0116, 0.8266), La at (0.4203, 0.6489, 0.3746), Cd at (0.1896, 0.1288, 0.4291) and Ge at (0.3916, 0.7170, 0.0711).


No. 2
La6Cd5Ge | PBE-GGA | optimized geometry

As for the density of states at the Fermi level: 12.820 states/eV/f.u. Its total energy is -3.64 eV per atom. As for the total moment: 0.0 μB/cell. The calculation puts the volume at 29.6 Å³ per atom. As for the formation energy: -0.41 eV/atom.

The structure belongs to space group Cmmm (No. 65); the cell edges are 5.4802, 16.6641 and 7.7831 Å and the angles 90.00°, 90.00° and 90.00°. The asymmetric unit holds La at (0.0000, 0.0000, 0.2303), La at (0.0000, 0.3427, 0.2425), Cd at (0.0000, 0.1715, 0.5000), Cd at (0.0000, 0.1801, 0.0000), Cd at (0.0000, 0.5000, 0.5000) and Ge at (0.0000, 0.5000, 0.0000).


No. 3
La4Cd3Ge | PBE-GGA | optimized geometry

As for the density of states at the Fermi level: 9.531 states/eV/f.u. Its total energy is -3.82 eV per atom. As for the total moment: 0.0 μB/cell. The calculation puts the volume at 29.4 Å³ per atom. As for the formation energy: -0.43 eV/atom.

The structure belongs to space group P4/mmm (No. 123); the cell edges are 3.9462, 3.9462 and 15.1016 Å and the angles 90.00°, 90.00° and 90.00°. The asymmetric unit holds La at (0.0000, 0.0000, 0.1033), La at (0.0000, 0.0000, 0.3699), Cd at (0.5000, 0.5000, 0.2424), Cd at (0.5000, 0.5000, 0.5000) and Ge at (0.5000, 0.5000, 0.0000).


No. 4
La2Cd2Ge3 | PBE-GGA | optimized geometry

As for the density of states at the Fermi level: 4.204 states/eV/f.u. Its total energy is -4.18 eV per atom. As for the total moment: 0.0 μB/cell. The calculation puts the volume at 25.9 Å³ per atom. As for the formation energy: -0.54 eV/atom.

The structure belongs to space group C2/m (No. 12); the cell edges are 16.2003, 4.4570 and 12.5100 Å and the angles 90.00°, 126.69° and 90.00°. The asymmetric unit holds La at (0.1025, 0.0000, 0.4422), La at (0.2328, 0.0000, 0.8330), Cd at (0.0482, 0.5000, 0.8179), Cd at (0.0928, 0.0000, 0.1582), Ge at (0.0807, 0.5000, 0.6181), Ge at (0.1292, 0.0000, 0.9720) and Ge at (0.1672, 0.5000, 0.3238).


No. 5
LaCd2Ge | PBE-GGA | optimized geometry

As for the density of states at the Fermi level: 1.979 states/eV/f.u. Its total energy is -3.08 eV per atom. As for the total moment: 0.0 μB/cell. The calculation puts the volume at 27.0 Å³ per atom. As for the formation energy: -0.23 eV/atom.

The structure belongs to space group I-42d (No. 122); the cell edges are 4.3848, 4.3848 and 22.4702 Å and the angles 90.00°, 90.00° and 90.00°. The asymmetric unit holds La at (0.0000, 0.0000, 0.0000), Cd at (0.2197, 0.2500, 0.6250) and Ge at (0.0000, 0.0000, 0.5000).


No. 6
LaCd2Ge2 | PBE-GGA | optimized geometry

As for the density of states at the Fermi level: 2.016 states/eV/f.u. As for the energy above the most stable polymorph in this dataset: 241 meV per atom. Its total energy is -3.36 eV per atom. As for the total moment: 0.0 μB/cell. The calculation puts the volume at 23.4 Å³ per atom. As for the formation energy: -0.16 eV/atom.

The structure belongs to space group P4/mbm (No. 127); the cell edges are 8.2963, 8.2963 and 3.4019 Å and the angles 90.00°, 90.00° and 90.00°. The asymmetric unit holds La at (0.0000, 0.0000, 0.0000), Cd at (0.1201, 0.3799, 0.0000) and Ge at (0.1808, 0.6808, 0.5000).


No. 7
LaCd2Ge | PBE-GGA | optimized geometry

As for the density of states at the Fermi level: 2.901 states/eV/f.u. Its total energy is -2.59 eV per atom. As for the total moment: 0.0 μB/cell. The calculation puts the volume at 26.1 Å³ per atom. As for the formation energy: 0.25 eV/atom.

The structure belongs to space group R-3m (No. 166, hexagonal axes); the cell edges are 3.2575, 3.2575 and 34.0208 Å and the angles 90.00°, 90.00° and 120.00°. The asymmetric unit holds La at (0.0000, 0.0000, 0.0000), Cd at (0.0000, 0.0000, 0.0964) and Ge at (0.0000, 0.0000, 0.5000).


No. 8
La2CdGe2 | PBE-GGA | optimized geometry

As for the density of states at the Fermi level: 6.005 states/eV/f.u. Its total energy is -4.31 eV per atom. As for the total moment: 0.0 μB/cell. The calculation puts the volume at 29.2 Å³ per atom. As for the formation energy: -0.31 eV/atom.

The structure belongs to space group I4/mmm (No. 139); the cell edges are 6.0283, 6.0283 and 8.0472 Å and the angles 90.00°, 90.00° and 90.00°. The asymmetric unit holds La at (0.0000, 0.5000, 0.2500), Cd at (0.0000, 0.0000, 0.0000) and Ge at (0.0000, 0.0000, 0.3417).


No. 9
LaCd6Ge2 | PBE-GGA | optimized geometry

As for the density of states at the Fermi level: 4.289 states/eV/f.u. Its total energy is -2.38 eV per atom. As for the total moment: 0.0 μB/cell. The calculation puts the volume at 22.8 Å³ per atom. As for the formation energy: -0.20 eV/atom.

The structure belongs to space group P4/mmm (No. 123); the cell edges are 4.3719, 4.3719 and 10.7464 Å and the angles 90.00°, 90.00° and 90.00°. The asymmetric unit holds La at (0.0000, 0.0000, 0.0000), Cd at (0.0000, 0.0000, 0.5000), Cd at (0.0000, 0.5000, 0.2882), Cd at (0.5000, 0.5000, 0.5000) and Ge at (0.5000, 0.5000, 0.1176).


No. 10
LiLaCdGe | PBE-GGA | optimized geometry

As for the density of states at the Fermi level: 2.440 states/eV/f.u. Its total energy is -3.52 eV per atom. As for the total moment: 0.0 μB/cell. The calculation puts the volume at 23.8 Å³ per atom. As for the formation energy: -0.42 eV/atom.

The structure belongs to space group F-43m (No. 216); the cell edges are 7.2525, 7.2525 and 7.2525 Å and the angles 90.00°, 90.00° and 90.00°. The asymmetric unit holds Li at (0.0000, 0.0000, 0.0000), La at (0.0000, 0.0000, 0.5000), Cd at (0.2500, 0.2500, 0.7500) and Ge at (0.2500, 0.2500, 0.2500).


No. 11
LaMgCdGe | PBE-GGA | optimized geometry

As for the density of states at the Fermi level: 4.138 states/eV/f.u. Its total energy is -3.37 eV per atom. As for the total moment: 0.0 μB/cell. The calculation puts the volume at 24.5 Å³ per atom. As for the formation energy: -0.36 eV/atom.

The structure belongs to space group F-43m (No. 216); the cell edges are 7.3204, 7.3204 and 7.3204 Å and the angles 90.00°, 90.00° and 90.00°. The asymmetric unit holds La at (0.0000, 0.0000, 0.0000), Mg at (0.0000, 0.0000, 0.5000), Cd at (0.2500, 0.2500, 0.2500) and Ge at (0.2500, 0.2500, 0.7500).


No. 12
La4CdGeN | PBE-GGA | optimized geometry

As for the density of states at the Fermi level: 4.063 states/eV/f.u. Its total energy is -5.50 eV per atom. The value obtained for the uncorrected formation energy is -67.8 kJ/mol of atoms. As for the total moment: 0.0 μB/cell. The calculation puts the volume at 29.0 Å³ per atom.

The structure belongs to space group Cmcm (No. 63); the cell edges are 7.0353, 16.3862 and 7.0348 Å and the angles 90.00°, 90.00° and 90.00°. The asymmetric unit holds La at (0.0000, 0.0675, 0.2500), La at (0.0000, 0.4162, 0.2500), La at (0.2500, 0.2500, 0.0000), Cd at (0.0000, 0.3869, 0.7500), Ge at (0.0000, 0.1171, 0.7500) and N at (0.0000, 0.2693, 0.2500).


No. 13
NaLaCd2Ge | PBE-GGA | optimized geometry

As for the density of states at the Fermi level: 4.198 states/eV/f.u. Its total energy is -2.46 eV per atom. As for the total moment: 0.0 μB/cell. The calculation puts the volume at 32.7 Å³ per atom. As for the formation energy: 0.08 eV/atom.

The structure belongs to space group P4/mmm (No. 123); the cell edges are 5.3237, 5.3237 and 5.7694 Å and the angles 90.00°, 90.00° and 90.00°. The asymmetric unit holds Na at (0.0000, 0.0000, 0.0000), La at (0.5000, 0.5000, 0.0000), Cd at (0.0000, 0.5000, 0.5000) and Ge at (0.5000, 0.5000, 0.5000).


No. 14
LaNdCdGe | PBE-GGA | optimized geometry

As for the density of states at the Fermi level: 3.160 states/eV/f.u. Its total energy is -4.31 eV per atom. As for the total moment: 0.0 μB/cell. The calculation puts the volume at 27.3 Å³ per atom. As for the formation energy: -0.50 eV/atom.

The structure belongs to space group F-43m (No. 216); the cell edges are 7.5846, 7.5846 and 7.5846 Å and the angles 90.00°, 90.00° and 90.00°. The asymmetric unit holds La at (0.0000, 0.0000, 0.0000), Nd at (0.0000, 0.0000, 0.5000), Cd at (0.2500, 0.2500, 0.7500) and Ge at (0.2500, 0.2500, 0.2500).


No. 15
La2CdGePb | PBE-GGA | optimized geometry

As for the density of states at the Fermi level: 2.144 states/eV/f.u. Its total energy is -4.38 eV per atom. As for the total moment: 0.0 μB/cell. The calculation puts the volume at 30.5 Å³ per atom. As for the formation energy: -0.56 eV/atom.

The structure belongs to space group P4/nmm (No. 129, origin choice 2); the cell edges are 4.5993, 4.5993 and 14.4142 Å and the angles 90.00°, 90.00° and 90.00°. The asymmetric unit holds La at (0.2500, 0.2500, 0.1028), La at (0.2500, 0.2500, 0.6868), Cd at (0.2500, 0.7500, 0.5000), Ge at (0.2500, 0.2500, 0.8890) and Pb at (0.2500, 0.2500, 0.3555).


No. 16
La3CdGe6Pd2 | PBE-GGA | optimized geometry

As for the density of states at the Fermi level: 5.729 states/eV/f.u. Its total energy is -4.92 eV per atom. As for the total moment: 0.0 μB/cell. The calculation puts the volume at 23.2 Å³ per atom. As for the formation energy: -0.43 eV/atom.

The structure belongs to space group P-3m1 (No. 164); the cell edges are 6.1317, 6.1317 and 8.5497 Å and the angles 90.00°, 90.00° and 120.00°. The asymmetric unit holds La at (0.0000, 0.0000, 0.0000), La at (0.3333, 0.6667, 0.6231), Cd at (0.0000, 0.0000, 0.5000), Ge at (0.1935, 0.3870, 0.2713) and Pd at (0.3333, 0.6667, 0.0176).


No. 17
La2CdGe3Pd4 | PBE-GGA | optimized geometry

As for the density of states at the Fermi level: 5.054 states/eV/f.u. Its total energy is -5.32 eV per atom. As for the total moment: 0.0 μB/cell. The calculation puts the volume at 20.5 Å³ per atom. As for the formation energy: -0.78 eV/atom.

The structure belongs to space group P-4m2 (No. 115); the cell edges are 4.3991, 4.3991 and 10.5683 Å and the angles 90.00°, 90.00° and 90.00°. The asymmetric unit holds La at (0.0000, 0.5000, 0.2439), Cd at (0.0000, 0.0000, 0.5000), Ge at (0.0000, 0.5000, 0.8772), Ge at (0.5000, 0.5000, 0.5000), Pd at (0.0000, 0.0000, 0.0000), Pd at (0.0000, 0.5000, 0.6445) and Pd at (0.5000, 0.5000, 0.0000).


No. 18
LaCd2GePd2 | PBE-GGA | optimized geometry

As for the density of states at the Fermi level: 3.166 states/eV/f.u. Its total energy is -3.91 eV per atom. As for the total moment: 0.0 μB/cell. The calculation puts the volume at 24.8 Å³ per atom. As for the formation energy: -0.28 eV/atom.

The structure belongs to space group I4/mmm (No. 139); the cell edges are 5.2719, 5.2719 and 10.6961 Å and the angles 90.00°, 90.00° and 90.00°. The asymmetric unit holds La at (0.0000, 0.0000, 0.0000), Cd at (0.0000, 0.5000, 0.2500), Ge at (0.0000, 0.0000, 0.5000) and Pd at (0.0000, 0.0000, 0.2776).


No. 19
La2CdGe4Pd3 | PBE-GGA | optimized geometry

As for the density of states at the Fermi level: 5.464 states/eV/f.u. Its total energy is -5.24 eV per atom. As for the total moment: 0.0 μB/cell. The calculation puts the volume at 20.5 Å³ per atom. As for the formation energy: -0.76 eV/atom.

The structure belongs to space group P-4m2 (No. 115); the cell edges are 4.3968, 4.3968 and 10.6198 Å and the angles 90.00°, 90.00° and 90.00°. The asymmetric unit holds La at (0.0000, 0.5000, 0.2414), Cd at (0.0000, 0.0000, 0.5000), Ge at (0.0000, 0.0000, 0.0000), Ge at (0.0000, 0.5000, 0.6470), Ge at (0.5000, 0.5000, 0.0000), Pd at (0.0000, 0.5000, 0.8801) and Pd at (0.5000, 0.5000, 0.5000).


No. 20
LaPrCdGe | PBE-GGA | optimized geometry

As for the density of states at the Fermi level: 3.237 states/eV/f.u. Its total energy is -4.31 eV per atom. As for the total moment: 0.0 μB/cell. The calculation puts the volume at 27.6 Å³ per atom. As for the formation energy: -0.50 eV/atom.

The structure belongs to space group F-43m (No. 216); the cell edges are 7.6125, 7.6125 and 7.6125 Å and the angles 90.00°, 90.00° and 90.00°. The asymmetric unit holds La at (0.0000, 0.0000, 0.0000), Pr at (0.0000, 0.0000, 0.5000), Cd at (0.2500, 0.2500, 0.7500) and Ge at (0.2500, 0.2500, 0.2500).


No. 21
La2Cd2GePt4 | PBE-GGA | optimized geometry

As for the density of states at the Fermi level: 4.710 states/eV/f.u. Its total energy is -5.17 eV per atom. As for the total moment: 0.0 μB/cell. The calculation puts the volume at 21.9 Å³ per atom. As for the formation energy: -0.67 eV/atom.

The structure belongs to space group I4/mmm (No. 139); the cell edges are 6.9123, 6.9123 and 8.2337 Å and the angles 90.00°, 90.00° and 90.00°. The asymmetric unit holds La at (0.0000, 0.5000, 0.2500), Cd at (0.0000, 0.0000, 0.1755), Ge at (0.0000, 0.0000, 0.5000) and Pt at (0.2483, 0.2483, 0.0000).


No. 22
La2CdGePt6 | PBE-GGA | optimized geometry

As for the density of states at the Fermi level: 4.005 states/eV/f.u. Its total energy is -5.91 eV per atom. As for the total moment: 0.0 μB/cell. The calculation puts the volume at 21.5 Å³ per atom. As for the formation energy: -0.75 eV/atom.

The structure belongs to space group C2/m (No. 12); the cell edges are 12.0791, 5.5051 and 8.8288 Å and the angles 90.00°, 132.78° and 90.00°. The asymmetric unit holds La at (0.2461, 0.0000, 0.2066), Cd at (0.0000, 0.5000, 0.0000), Ge at (0.0000, 0.0000, 0.5000), Pt at (0.0042, 0.2529, 0.7381) and Pt at (0.2494, 0.0000, 0.5917).


No. 23
LaCdGe2Pt5 | PBE-GGA | optimized geometry

As for the density of states at the Fermi level: 4.457 states/eV/f.u. Its total energy is -5.58 eV per atom. As for the total moment: 0.0 μB/cell. The calculation puts the volume at 18.8 Å³ per atom. As for the formation energy: -0.55 eV/atom.

The structure belongs to space group P4/mmm (No. 123); the cell edges are 4.3115, 4.3115 and 9.1128 Å and the angles 90.00°, 90.00° and 90.00°. The asymmetric unit holds La at (0.0000, 0.0000, 0.0000), Cd at (0.0000, 0.0000, 0.5000), Ge at (0.5000, 0.5000, 0.3686), Pt at (0.0000, 0.5000, 0.2363) and Pt at (0.5000, 0.5000, 0.0000).


No. 24
LaCdGe2Pt2 | PBE-GGA | optimized geometry

As for the density of states at the Fermi level: 3.281 states/eV/f.u. Its total energy is -5.23 eV per atom. As for the total moment: 0.0 μB/cell. The calculation puts the volume at 20.3 Å³ per atom. As for the formation energy: -0.71 eV/atom.

The structure belongs to space group P-3m1 (No. 164); the cell edges are 4.3959, 4.3959 and 7.2681 Å and the angles 90.00°, 90.00° and 120.00°. The asymmetric unit holds La at (0.0000, 0.0000, 0.0000), Cd at (0.0000, 0.0000, 0.5000), Ge at (0.3333, 0.6667, 0.7308) and Pt at (0.3333, 0.6667, 0.3092).